Record 1
{"formula": "NbCrN", "functional": "GGA-PBE", "state": "relaxed", "total_magnetization_mub_per_fu": 0.27, "formation_energy_uncorrected_kj_per_mol_atoms": -45, "mass_density_g_cm3": 7.4, "crystal_system": "trigonal", "dos_at_fermi_per_ev_cell": 2.4, "lattice": [[4.5323, 0.0000, 0.0000], [0.0000, 3.0192, 0.0000], [0.0000, -1.5096, 2.6147]], "species": ["Nb", "N", "Cr"], "frac_coords": [[0.7391, 0.6667, 0.3333], [0.0318, 0.0000, 0.0000], [0.2290, 0.3333, 0.6667]]}

***

Record 2
{"formula": "Nb3CrN", "functional": "GGA-PBE", "state": "relaxed", "total_magnetization_mub_per_fu": 2.45, "formation_energy_uncorrected_kj_per_mol_atoms": -26, "mass_density_g_cm3": 7.4, "crystal_system": "cubic", "dos_at_fermi_per_ev_cell": 4.2, "lattice": [[4.2578, 0.0000, 0.0000], [0.0000, 4.2578, 0.0000], [0.0000, 0.0000, 4.2578]], "species": ["N", "Nb", "Nb", "Nb", "Cr"], "frac_coords": [[0.0000, 0.0000, 0.0000], [0.0000, 0.0000, 0.5000], [0.5000, 0.0000, 0.0000], [0.0000, 0.5000, 0.0000], [0.5000, 0.5000, 0.5000]]}

***

Record 3
{"formula": "NbCr2N", "functional": "GGA-PBE", "state": "relaxed", "total_magnetization_mub_per_fu": 2.05, "formation_energy_uncorrected_kj_per_mol_atoms": 106, "mass_density_g_cm3": 7.2, "crystal_system": "cubic", "dos_at_fermi_per_ev_cell": 1.3, "lattice": [[2.6093, -0.1211, 3.1626], [-1.3847, -0.8308, 3.7707], [0.9072, -3.5853, 1.7743]], "species": ["N", "Nb", "Cr", "Cr"], "frac_coords": [[0.0000, 0.0000, 0.0000], [0.5000, 0.5000, 0.5000], [0.7500, 0.7500, 0.7500], [0.2500, 0.2500, 0.2500]]}

***

Record 4
{"formula": "Nb2CrN", "functional": "GGA-PBE", "state": "relaxed", "total_magnetization_mub_per_fu": 0.00, "formation_energy_uncorrected_kj_per_mol_atoms": -29, "mass_density_g_cm3": 7.7, "crystal_system": "trigonal", "dos_at_fermi_per_ev_cell": 2.5, "lattice": [[-0.8853, 2.2099, 1.9366], [-2.8574, 1.1104, -0.1418], [-3.2643, -3.5257, 4.9626]], "species": ["Cr", "Nb", "Nb", "N"], "frac_coords": [[0.5000, 0.5000, 0.5000], [0.2679, 0.2679, 0.1962], [0.7321, 0.7321, 0.8038], [0.0000, 0.0000, 0.0000]]}

***

Record 5
{"formula": "NbCr2N", "functional": "GGA-PBE", "state": "relaxed", "total_magnetization_mub_per_fu": 0.00, "formation_energy_uncorrected_kj_per_mol_atoms": 10, "mass_density_g_cm3": 6.9, "crystal_system": "trigonal", "dos_at_fermi_per_ev_cell": 5.4, "lattice": [[-0.5409, -2.3092, 1.5931], [1.5019, -0.4749, 2.3836], [-4.4772, 2.7926, 5.0897]], "species": ["Cr", "Cr", "N", "Nb"], "frac_coords": [[0.8817, 0.8817, 0.3550], [0.1183, 0.1183, 0.6450], [0.5000, 0.5000, 0.5000], [0.0000, 0.0000, 0.0000]]}

***

Record 6
{"formula": "NbCr2N", "functional": "GGA-PBE", "state": "relaxed", "total_magnetization_mub_per_fu": 2.28, "formation_energy_uncorrected_kj_per_mol_atoms": 24, "mass_density_g_cm3": 6.1, "crystal_system": "tetragonal", "dos_at_fermi_per_ev_cell": 7.7, "lattice": [[-1.6390, -2.7356, -4.5438], [4.1362, -3.6362, 0.6972], [-0.9674, -5.3083, 0.1538]], "species": ["N", "N", "Cr", "Cr", "Cr", "Cr", "Nb", "Nb"], "frac_coords": [[0.2500, 0.7500, 0.5000], [0.5000, 0.5000, 0.0000], [0.3750, 0.4962, 0.7500], [0.2462, 0.6250, 0.2500], [0.5038, 0.1250, 0.2500], [0.8750, 0.7538, 0.7500], [0.0000, 0.0000, 0.0000], [0.7500, 0.2500, 0.5000]]}

***

Record 7
{"formula": "Nb2CrN", "functional": "GGA-PBE", "state": "relaxed", "total_magnetization_mub_per_fu": 0.00, "formation_energy_uncorrected_kj_per_mol_atoms": 21, "mass_density_g_cm3": 7.2, "crystal_system": "tetragonal", "dos_at_fermi_per_ev_cell": 13.6, "lattice": [[-3.8781, -4.8063, 0.0144], [3.5066, -2.8167, 4.2320], [-1.8076, -2.4962, 4.3425]], "species": ["Nb", "Nb", "Nb", "Nb", "Cr", "Cr", "N", "N"], "frac_coords": [[0.3750, 0.4358, 0.7500], [0.5642, 0.1250, 0.2500], [0.1858, 0.6250, 0.2500], [0.8750, 0.8142, 0.7500], [0.0000, 0.0000, 0.0000], [0.7500, 0.2500, 0.5000], [0.5000, 0.5000, 0.0000], [0.2500, 0.7500, 0.5000]]}

***

Record 8
{"formula": "NbCrN", "functional": "GGA-PBE", "state": "relaxed", "total_magnetization_mub_per_fu": 0.90, "formation_energy_uncorrected_kj_per_mol_atoms": -51, "mass_density_g_cm3": 7.4, "crystal_system": "orthorhombic", "dos_at_fermi_per_ev_cell": 9.4, "lattice": [[3.0229, 0.0000, 0.0000], [0.0000, 4.6937, 0.0000], [0.0000, 0.0000, 10.0132]], "species": ["Cr", "Cr", "Cr", "Cr", "Nb", "Nb", "Nb", "Nb", "N", "N", "N", "N"], "frac_coords": [[0.7500, 0.2510, 0.7070], [0.7500, 0.2490, 0.2070], [0.2500, 0.7510, 0.7930], [0.2500, 0.7490, 0.2930], [0.2500, 0.2532, 0.4518], [0.2500, 0.2468, 0.9518], [0.7500, 0.7532, 0.0482], [0.7500, 0.7468, 0.5482], [0.2500, 0.0194, 0.6424], [0.7500, 0.5194, 0.8576], [0.7500, 0.9806, 0.3576], [0.2500, 0.4806, 0.1424]]}